Density functional theory data (PBE) for an optimized crystal structure of SmDy2Pb.

a = 4.673 Å, b = 4.709 Å, c = 11.622 Å
α = 90.00°, β = 101.54°, γ = 90.00°
Space group P2_1/m (No. 11)
Asymmetric unit:
Sm 0.190 0.250 0.384 (multiplicity 2)
Dy 0.058 0.750 0.116 (multiplicity 2)
Dy 0.438 0.750 0.876 (multiplicity 2)
Pb 0.336 0.250 0.668 (multiplicity 2)

Computed properties:
Theoretical density ... 9.05 g/cm3
Energy of formation ... -1.18 eV/f.u.

---

Density functional theory data (PBE) for an optimized crystal structure of Sm6Dy12Pb.

a = 12.9863 Å, b = 12.9863 Å, c = 12.8770 Å
α = 90.00°, β = 90.00°, γ = 120.00°
Space group R-3 (No. 148, hexagonal axes)
Asymmetric unit:
Sm 0.0909 0.1831 0.2741 (multiplicity 18)
Dy 0.0005 0.2599 0.5002 (multiplicity 18)
Dy 0.0587 0.5295 0.6124 (multiplicity 18)
Pb 0.0000 0.0000 0.5000 (multiplicity 3)

Computed properties:
Theoretical density ... 8.10 g/cm3
Energy of formation ... 1.51 eV/f.u.

---

Density functional theory data (PBE) for an optimized crystal structure of Sm2DyPb3.

a = 9.428 Å, b = 14.506 Å, c = 5.913 Å
α = 90.00°, β = 115.68°, γ = 90.00°
Space group C2/c (No. 15)
Asymmetric unit:
Sm 0.000 0.083 0.250 (multiplicity 4)
Sm 0.000 0.249 0.750 (multiplicity 4)
Dy 0.000 0.416 0.250 (multiplicity 4)
Pb 0.246 0.418 0.004 (multiplicity 8)
Pb 0.250 0.250 0.500 (multiplicity 4)

Computed properties:
Theoretical density ... 9.89 g/cm3
Energy of formation ... -2.80 eV/f.u.

---

Density functional theory data (PBE) for an optimized crystal structure of SmDy5Pb6.

a = 15.869 Å, b = 8.924 Å, c = 5.041 Å
α = 90.00°, β = 107.90°, γ = 90.00°
Space group C2/m (No. 12)
Asymmetric unit:
Sm 0.000 0.000 0.000 (multiplicity 2)
Dy 0.000 0.500 0.000 (multiplicity 2)
Dy 0.167 0.000 0.667 (multiplicity 4)
Dy 0.167 0.500 0.668 (multiplicity 4)
Pb 0.000 0.252 0.500 (multiplicity 4)
Pb 0.168 0.251 0.168 (multiplicity 8)

Computed properties:
Theoretical density ... 10.79 g/cm3
Energy of formation ... -5.24 eV/f.u.

---

Density functional theory data (PBE) for an optimized crystal structure of SmDy2Pb.

a = 3.5481 Å, b = 3.5481 Å, c = 36.2260 Å
α = 90.00°, β = 90.00°, γ = 120.00°
Space group R-3m (No. 166, hexagonal axes)
Asymmetric unit:
Sm 0.0000 0.0000 0.0000 (multiplicity 3)
Dy 0.0000 0.0000 0.4125 (multiplicity 6)
Pb 0.0000 0.0000 0.5000 (multiplicity 3)

Computed properties:
Theoretical density ... 8.61 g/cm3
Energy of formation ... 0.19 eV/f.u.

---

Density functional theory data (PBE) for an optimized crystal structure of SmDy2Pb.

a = 3.628 Å, b = 3.628 Å, c = 9.375 Å
α = 90.00°, β = 90.00°, γ = 90.00°
Space group P4/mmm (No. 123)
Asymmetric unit:
Sm 0.000 0.000 0.000 (multiplicity 1)
Dy 0.500 0.500 0.268 (multiplicity 2)
Pb 0.000 0.000 0.500 (multiplicity 1)

Computed properties:
Theoretical density ... 9.19 g/cm3
Energy of formation ... -0.81 eV/f.u.

---

Density functional theory data (PBE) for an optimized crystal structure of SmDy2Pb.

a = 4.891 Å, b = 4.891 Å, c = 4.867 Å
α = 90.00°, β = 90.00°, γ = 90.00°
Space group P4/mmm (No. 123)
Asymmetric unit:
Sm 0.000 0.000 0.000 (multiplicity 1)
Dy 0.000 0.500 0.500 (multiplicity 2)
Pb 0.500 0.500 0.000 (multiplicity 1)

Computed properties:
Theoretical density ... 9.73 g/cm3
Energy of formation ... -1.17 eV/f.u.

---

Density functional theory data (PBE) for an optimized crystal structure of SmDy5Pb5.

a = 15.725 Å, b = 6.286 Å, c = 7.433 Å
α = 90.00°, β = 102.98°, γ = 90.00°
Space group C2/m (No. 12)
Asymmetric unit:
Sm 0.000 0.000 0.000 (multiplicity 2)
Dy 0.000 0.000 0.500 (multiplicity 2)
Dy 0.157 0.500 0.339 (multiplicity 4)
Dy 0.167 0.500 0.841 (multiplicity 4)
Pb 0.000 0.500 0.000 (multiplicity 2)
Pb 0.168 0.000 0.342 (multiplicity 4)
Pb 0.169 0.000 0.817 (multiplicity 4)

Computed properties:
Theoretical density ... 9.27 g/cm3
Energy of formation ... -3.03 eV/f.u.